No. 1
{
  "formula": "BaZnSn2Pt",
  "functional": "PBE-GGA",
  "state": "relaxed",
  "lattice": [[5.0352, 0.0000, 0.0000], [0.0000, 6.0726, 0.0000], [0.0000, 0.0000, 5.0352]],
  "species": ["Sn", "Zn", "Pt", "Ba", "Sn"],
  "fractional_positions": [[0.0000, 0.0000, 0.5000], [0.0000, 0.0000, 0.0000], [0.5000, 0.5000, 0.5000], [0.0000, 0.5000, 0.0000], [0.5000, 0.0000, 0.0000]],
  "dft_energy_ev_per_atom": -3.16,
  "formation_enthalpy_0k_ev_per_fu": 1.4,
  "space_group": "P4/mmm"
}

No. 2
{
  "formula": "BaZnSnPt3",
  "functional": "PBE-GGA",
  "state": "relaxed",
  "lattice": [[6.0296, 0.0000, 0.0000], [0.0000, 7.1428, 0.0000], [0.0000, -3.5714, 6.6628]],
  "species": ["Pt", "Zn", "Pt", "Pt", "Sn", "Pt", "Ba", "Pt", "Ba", "Zn", "Pt", "Sn"],
  "fractional_positions": [[0.5000, 0.2829, 0.0000], [0.7500, 0.9978, 0.9956], [0.7500, 0.8079, 0.6157], [0.0000, 0.7171, 0.0000], [0.2500, 0.3852, 0.7704], [0.2500, 0.1921, 0.3843], [0.2500, 0.7390, 0.4780], [0.0000, 0.2829, 0.0000], [0.7500, 0.2610, 0.5220], [0.2500, 0.0022, 0.0044], [0.5000, 0.7171, 0.0000], [0.7500, 0.6148, 0.2296]],
  "dft_energy_ev_per_atom": -4.70,
  "formation_enthalpy_0k_ev_per_fu": -2.9,
  "space_group": "Cmcm"
}